No. 1
A geometry-optimized CsAl2SbMo structure, computed with PBE.

- VASP energy (eV/cell) = -15.86
- total magnetic moment (μB per formula unit) = 4.928
- ΔE_f (raw) (meV/atom) = 1487

Cell lengths 5.3956, 7.0345, 5.3956 Å; angles 90.00, 90.00, 90.00 degrees
Atoms (fractional coordinates):
Mo 0.5000 0.5000 0.5000
Al 0.5000 0.0000 0.0000
Al 0.0000 0.0000 0.5000
Sb 0.0000 0.0000 0.0000
Cs 0.0000 0.5000 0.0000


No. 2
A geometry-optimized CsAlN2 structure, computed with PBE.

- VASP energy (eV/cell) = -42.44
- total magnetic moment (μB per formula unit) = 0.854
- ΔE_f (raw) (meV/atom) = 6

Cell lengths 5.5887, 5.5887, 6.3068 Å; angles 63.70, 63.70, 90.00 degrees
Atoms (fractional coordinates):
Cs 0.7500 0.2500 0.5000
Cs 0.0000 0.0000 0.0000
Al 0.2500 0.7500 0.5000
Al 0.5000 0.5000 0.0000
N 0.3750 0.6250 0.2500
N 0.3750 0.1250 0.2500
N 0.3750 0.6250 0.7500
N 0.8750 0.6250 0.7500


No. 3
A geometry-optimized CsAlN3 structure, computed with PBE.

- VASP energy (eV/cell) = -14.56
- total magnetic moment (μB per formula unit) = 0.000
- ΔE_f (raw) (meV/atom) = 3003

Cell lengths 4.3038, 4.3038, 4.3038 Å; angles 90.00, 90.00, 90.00 degrees
Atoms (fractional coordinates):
N 0.0000 0.0000 0.5000
N 0.0000 0.5000 0.0000
N 0.5000 0.0000 0.0000
Al 0.5000 0.5000 0.5000
Cs 0.0000 0.0000 0.0000


No. 4
A geometry-optimized CsAlN2 structure, computed with PBE.

- VASP energy (eV/cell) = -18.92
- total magnetic moment (μB per formula unit) = 0.000
- ΔE_f (raw) (meV/atom) = 581

Cell lengths 7.0206, 7.0206, 7.0206 Å; angles 27.22, 27.22, 27.22 degrees
Atoms (fractional coordinates):
Cs 0.0000 0.0000 0.0000
N 0.8772 0.8772 0.8772
N 0.1228 0.1228 0.1228
Al 0.5000 0.5000 0.5000


No. 5
A geometry-optimized CsAlNO2 structure, computed with PBE.

- VASP energy (eV/cell) = -15.63
- total magnetic moment (μB per formula unit) = 0.000
- ΔE_f (raw) (meV/atom) = 1442

Cell lengths 4.4091, 4.4091, 4.4690 Å; angles 90.00, 90.00, 90.00 degrees
Atoms (fractional coordinates):
Al 0.5000 0.5000 0.5000
Cs 0.0000 0.0000 0.0000
O 0.5000 0.0000 0.0000
O 0.0000 0.5000 0.0000
N 0.0000 0.0000 0.5000


No. 6
A geometry-optimized CsAlNO2 structure, computed with PBE.

- VASP energy (eV/cell) = -25.47
- total magnetic moment (μB per formula unit) = 0.498
- ΔE_f (raw) (meV/atom) = -527

Cell lengths 3.7681, 3.7681, 4.5921 Å; angles 90.00, 90.00, 90.00 degrees
Atoms (fractional coordinates):
O 0.5000 0.0000 0.0000
O 0.0000 0.5000 0.0000
Cs 0.5000 0.5000 0.5000
Al 0.0000 0.0000 0.0000
N 0.0000 0.0000 0.5000


What did the second record say?
A geometry-optimized CsAlN2 structure, computed with PBE.

- VASP energy (eV/cell) = -42.44
- total magnetic moment (μB per formula unit) = 0.854
- ΔE_f (raw) (meV/atom) = 6

Cell lengths 5.5887, 5.5887, 6.3068 Å; angles 63.70, 63.70, 90.00 degrees
Atoms (fractional coordinates):
Cs 0.7500 0.2500 0.5000
Cs 0.0000 0.0000 0.0000
Al 0.2500 0.7500 0.5000
Al 0.5000 0.5000 0.0000
N 0.3750 0.6250 0.2500
N 0.3750 0.1250 0.2500
N 0.3750 0.6250 0.7500
N 0.8750 0.6250 0.7500